DFT (PBE) results for a geometry-optimized HfTlVCl2 structure.

Lattice parameters (Å, degrees): 4.8977 5.7322 4.8977 90.00 90.00 90.00
Last column: nearest neighbours and their distance in Å.
Sites, in units of the cell vectors:
V  0.0000  0.5000  0.0000  2 Hf 2.87
Cl  0.5000  0.0000  0.0000  2 Hf 2.45
Hf  0.0000  0.0000  0.0000  4 Cl 2.45
Cl  0.0000  0.0000  0.5000  2 Hf 2.45
Tl  0.5000  0.5000  0.5000  4 V 3.46, 8 Cl 3.77

Computed properties:
Its energy is -5.0052 eV per atom. The raw formation energy comes out at 0.02 eV/atom.